A relaxed structure of Li2FeF4, computed with PBE+U.

Properties
* V: 12.10 Å³ per atom
* energy above the lowest structure with this stoichiometry: 18.5 meV per atom
* M_tot: 0.57 μB/atom

Unit cell a=6.021 b=5.575 c=5.700 alpha=90.00 beta=117.73 gamma=90.00
Fractional coordinates of all 14 atoms:
Li 0.047 0.227 0.071
Li 0.047 0.273 0.571
Li 0.953 0.727 0.429
Li 0.953 0.773 0.929
Fe 0.500 0.000 0.500
Fe 0.500 0.500 0.000
F 0.100 0.575 0.772
F 0.100 0.925 0.272
F 0.397 0.222 0.711
F 0.397 0.278 0.211
F 0.603 0.722 0.789
F 0.603 0.778 0.289
F 0.900 0.075 0.728
F 0.900 0.425 0.228